# CrOF3 | Alexandria via LeMat-Bulk | PBE with a Hubbard U | optimized geometry
data_CrOF3
_cell_length_a 6.0611
_cell_length_b 7.7747
_cell_length_c 13.8410
_cell_angle_alpha 90.00
_cell_angle_beta 90.00
_cell_angle_gamma 90.00
_symmetry_space_group_name_H-M 'F m m m'
_symmetry_Int_Tables_number 69
_symmetry_space_group_name_Hall '-F 2 2'
loop_
_atom_site_label
_atom_site_type_symbol
_atom_site_fract_x
_atom_site_fract_y
_atom_site_fract_z
Cr1 Cr 0.2500 0.2500 0.2500
O1 O 0.1016 0.0000 0.0000
F1 F 0.0000 0.2484 0.3400
F2 F 0.2500 0.0000 0.2500
# * VASP energy: -28.7 eV/f.u.